## BaTa2Rh (PBE)

Data for an optimized crystal structure of BaTa2Rh.

Lattice parameters (Å, degrees): 10.853 10.853 10.853 16.13 16.13 16.13
Element x y z (fractional)
Ba 0.500 0.500 0.500
Ta 0.733 0.733 0.733
Ta 0.267 0.267 0.267
Rh 0.000 0.000 0.000

Properties
* V: 21.50 Å³/atom
* polymorph energy (0 for the lowest one): 1.83 eV/f.u.
* magnetization: 0.0 μB/f.u.
* energy of formation from the pure elements: 0.68 eV/atom
* DFT total energy: -7.5629 eV per atom


## BaTa3Rh (PBE)

Data for an optimized crystal structure of BaTa3Rh.

Lattice parameters (Å, degrees): 4.994 4.994 4.994 90.00 90.00 90.00
Element x y z (fractional)
Ba 0.500 0.500 0.500
Ta 0.500 0.000 0.000
Ta 0.000 0.500 0.000
Ta 0.000 0.000 0.500
Rh 0.000 0.000 0.000

Properties
* V: 24.91 Å³/atom
* polymorph energy (0 for the lowest one): 0.00 eV/f.u.
* magnetization: 0.0 μB/f.u.
* energy of formation from the pure elements: 1.05 eV/atom
* DFT total energy: -7.9116 eV per atom


## BaTa2Rh (PBE)

Data for an optimized crystal structure of BaTa2Rh.

Lattice parameters (Å, degrees): 4.804 4.804 4.804 60.00 60.00 60.00
Element x y z (fractional)
Rh 0.000 0.000 0.000
Ba 0.500 0.500 0.500
Ta 0.250 0.250 0.250
Ta 0.750 0.750 0.750

Properties
* V: 19.60 Å³/atom
* polymorph energy (0 for the lowest one): 2.67 eV/f.u.
* magnetization: 0.0 μB/f.u.
* energy of formation from the pure elements: 0.89 eV/atom
* DFT total energy: -7.3534 eV per atom


## BaTa2Rh (PBE)

Data for an optimized crystal structure of BaTa2Rh.

Lattice parameters (Å, degrees): 5.838 5.838 5.670 75.42 75.42 30.59
Element x y z (fractional)
Ta 0.797 0.797 0.152
Ta 0.203 0.203 0.848
Ba 0.000 0.000 0.500
Rh 0.500 0.500 0.000

Properties
* V: 23.73 Å³/atom
* polymorph energy (0 for the lowest one): 1.02 eV/f.u.
* magnetization: 0.0 μB/f.u.
* energy of formation from the pure elements: 0.48 eV/atom
* DFT total energy: -7.7642 eV per atom


## BaTa2Rh (PBE)

Data for an optimized crystal structure of BaTa2Rh.

Lattice parameters (Å, degrees): 3.876 3.020 8.067 89.60 90.00 90.00
Element x y z (fractional)
Ba 0.500 0.500 0.000
Ta 0.000 0.950 0.341
Ta 0.000 0.050 0.659
Rh 0.500 0.500 0.500

Properties
* V: 23.61 Å³/atom
* polymorph energy (0 for the lowest one): 0.91 eV/f.u.
* magnetization: 0.0 μB/f.u.
* energy of formation from the pure elements: 0.45 eV/atom
* DFT total energy: -7.7924 eV per atom


## BaTaRh3 (PBE)

Data for an optimized crystal structure of BaTaRh3.

Lattice parameters (Å, degrees): 4.938 4.938 4.938 90.00 90.00 90.00
Element x y z (fractional)
Ta 0.500 0.500 0.500
Rh 0.000 0.500 0.000
Rh 0.500 0.000 0.000
Rh 0.000 0.000 0.500
Ba 0.000 0.000 0.000

Properties
* V: 24.09 Å³/atom
* polymorph energy (0 for the lowest one): 10.35 eV/f.u.
* magnetization: 0.0 μB/f.u.
* energy of formation from the pure elements: 2.20 eV/atom
* DFT total energy: -4.9620 eV per atom


## BaTa2Rh (PBE)

Data for an optimized crystal structure of BaTa2Rh.

Lattice parameters (Å, degrees): 6.030 6.030 6.030 150.22 124.96 63.83
Element x y z (fractional)
Ta 0.217 0.717 0.500
Ta 0.985 0.985 0.000
Rh 0.784 0.284 0.500
Ba 0.514 0.514 0.000

Properties
* V: 22.10 Å³/atom
* polymorph energy (0 for the lowest one): 2.04 eV/f.u.
* magnetization: 0.0 μB/f.u.
* energy of formation from the pure elements: 0.74 eV/atom
* DFT total energy: -7.5096 eV per atom


## BaTa2Rh (PBE)

Data for an optimized crystal structure of BaTa2Rh.

Lattice parameters (Å, degrees): 5.873 5.873 2.959 90.00 90.00 123.36
Element x y z (fractional)
Ba 0.000 0.000 0.500
Ta 0.000 0.500 0.000
Ta 0.500 0.000 0.000
Rh 0.500 0.500 0.500

Properties
* V: 21.32 Å³/atom
* polymorph energy (0 for the lowest one): 2.96 eV/f.u.
* magnetization: 0.0 μB/f.u.
* energy of formation from the pure elements: 0.96 eV/atom
* DFT total energy: -7.2813 eV per atom


## BaTa2Rh (PBE)

Data for an optimized crystal structure of BaTa2Rh.

Lattice parameters (Å, degrees): 6.406 6.406 6.406 152.94 131.10 56.77
Element x y z (fractional)
Ta 0.706 0.706 0.000
Ta 0.294 0.294 0.000
Rh 0.500 0.000 0.500
Ba 0.000 0.500 0.500

Properties
* V: 22.39 Å³/atom
* polymorph energy (0 for the lowest one): 1.28 eV/f.u.
* magnetization: 0.0 μB/f.u.
* energy of formation from the pure elements: 0.54 eV/atom
* DFT total energy: -7.7007 eV per atom


## BaTa2Rh (PBE)

Data for an optimized crystal structure of BaTa2Rh.

Lattice parameters (Å, degrees): 3.202 3.202 8.899 90.00 90.00 90.00
Element x y z (fractional)
Ta 0.000 0.000 0.182
Ta 0.500 0.500 0.973
Rh 0.000 0.000 0.820
Ba 0.500 0.500 0.525

Properties
* V: 22.81 Å³/atom
* polymorph energy (0 for the lowest one): 0.00 eV/f.u.
* magnetization: 0.0 μB/f.u.
* energy of formation from the pure elements: 0.22 eV/atom
* DFT total energy: -8.0202 eV per atom


## BaTa3Rh (PBE)

Data for an optimized crystal structure of BaTa3Rh.

Lattice parameters (Å, degrees): 4.982 4.982 4.982 90.00 90.00 90.00
Element x y z (fractional)
Ta 0.000 0.500 0.000
Ta 0.000 0.000 0.500
Ta 0.500 0.000 0.000
Rh 0.500 0.500 0.500
Ba 0.000 0.000 0.000

Properties
* V: 24.73 Å³/atom
* polymorph energy (0 for the lowest one): 10.31 eV/f.u.
* magnetization: 0.0 μB/f.u.
* energy of formation from the pure elements: 3.12 eV/atom
* DFT total energy: -5.8499 eV per atom


## Ba2TaTiRh (PBE)

Data for an optimized crystal structure of Ba2TaTiRh.

Lattice parameters (Å, degrees): 6.078 4.717 6.078 90.00 90.00 90.00
Element x y z (fractional)
Ta 0.000 0.000 0.000
Rh 0.500 0.500 0.500
Ba 0.500 0.000 0.000
Ba 0.000 0.000 0.500
Ti 0.000 0.500 0.000

Properties
* V: 34.85 Å³/atom
* magnetization: 0.7 μB/f.u.
* energy of formation from the pure elements: 1.33 eV/atom
* DFT total energy: -4.8543 eV per atom


## BaTbRh2 (PBE)

Data for an optimized crystal structure of BaTbRh2.

Lattice parameters (Å, degrees): 3.513 3.513 7.639 90.00 90.00 90.00
Element x y z (fractional)
Rh 0.000 0.000 0.204
Rh 0.000 0.000 0.796
Tb 0.500 0.500 0.000
Ba 0.500 0.500 0.500

Properties
* V: 23.57 Å³/atom
* magnetization: 0.0 μB/f.u.
* energy of formation from the pure elements: -0.40 eV/atom
* DFT total energy: -5.7122 eV per atom


## BaTb2Rh9 (PBE)

Data for an optimized crystal structure of BaTb2Rh9.

Lattice parameters (Å, degrees): 5.361 5.361 9.299 73.24 73.24 60.00
Element x y z (fractional)
Rh 0.415 0.415 0.253
Rh 0.333 0.333 0.000
Rh 0.415 0.917 0.253
Rh 0.667 0.667 0.000
Rh 0.917 0.415 0.253
Rh 0.585 0.585 0.747
Rh 0.083 0.585 0.747
Rh 0.585 0.083 0.747
Rh 0.500 0.500 0.500
Tb 0.139 0.139 0.582
Tb 0.861 0.861 0.418
Ba 0.000 0.000 0.000

Properties
* V: 18.19 Å³/atom
* magnetization: 0.0 μB/f.u.
* energy of formation from the pure elements: -0.38 eV/atom
* DFT total energy: -6.8301 eV per atom


## BaTbRh (PBE)

Data for an optimized crystal structure of BaTbRh.

Lattice parameters (Å, degrees): 5.068 7.697 11.549 94.11 102.68 90.00
Element x y z (fractional)
Ba 0.593 0.824 0.187
Ba 0.407 0.176 0.813
Ba 0.081 0.303 0.162
Ba 0.919 0.697 0.838
Tb 0.787 0.391 0.573
Tb 0.767 0.871 0.535
Tb 0.233 0.129 0.465
Tb 0.213 0.609 0.427
Rh 0.674 0.517 0.347
Rh 0.686 0.156 0.373
Rh 0.314 0.844 0.627
Rh 0.326 0.483 0.653

Properties
* V: 36.53 Å³/atom
* magnetization: 0.0 μB/f.u.
* energy of formation from the pure elements: -0.42 eV/atom
* DFT total energy: -5.0578 eV per atom


## BaTb3Rh (PBE)

Data for an optimized crystal structure of BaTb3Rh.

Lattice parameters (Å, degrees): 5.571 5.571 5.571 90.00 90.00 90.00
Element x y z (fractional)
Rh 0.000 0.000 0.000
Ba 0.500 0.500 0.500
Tb 0.000 0.000 0.500
Tb 0.000 0.500 0.000
Tb 0.500 0.000 0.000

Properties
* V: 34.58 Å³/atom
* magnetization: 0.0 μB/f.u.
* energy of formation from the pure elements: -0.26 eV/atom
* DFT total energy: -4.8888 eV per atom


## BaTb2Rh (PBE)

Data for an optimized crystal structure of BaTb2Rh.

Lattice parameters (Å, degrees): 4.005 4.005 10.971 79.48 79.48 60.00
Element x y z (fractional)
Tb 0.880 0.880 0.361
Tb 0.120 0.120 0.639
Ba 0.000 0.000 0.000
Rh 0.500 0.500 0.500

Properties
* V: 37.24 Å³/atom
* magnetization: 0.0 μB/f.u.
* energy of formation from the pure elements: -0.26 eV/atom
* DFT total energy: -4.8960 eV per atom


## Ba4TcRh (PBE)

Data for an optimized crystal structure of Ba4TcRh.

Lattice parameters (Å, degrees): 6.818 6.818 6.818 60.00 60.00 60.00
Element x y z (fractional)
Rh 0.750 0.750 0.750
Ba 0.375 0.375 0.874
Ba 0.375 0.375 0.375
Ba 0.375 0.874 0.375
Ba 0.874 0.375 0.375
Tc 0.000 0.000 0.000

Properties
* V: 37.34 Å³/atom
* magnetization: 2.7 μB/f.u.
* energy of formation from the pure elements: 1.35 eV/atom
* DFT total energy: -2.8881 eV per atom


## Ba2TcRh (PBE)

Data for an optimized crystal structure of Ba2TcRh.

Lattice parameters (Å, degrees): 4.323 4.323 9.208 76.73 76.73 59.98
Element x y z (fractional)
Ba 0.961 0.961 0.112
Ba 0.789 0.789 0.638
Rh 0.543 0.543 0.371
Tc 0.207 0.207 0.379

Properties
* V: 35.91 Å³/atom
* polymorph energy (0 for the lowest one): 0.00 eV/f.u.
* magnetization: 1.3 μB/f.u.
* energy of formation from the pure elements: 0.17 eV/atom
* DFT total energy: -5.2180 eV per atom


## Ba2TcRh (PBE)

Data for an optimized crystal structure of Ba2TcRh.

Lattice parameters (Å, degrees): 7.033 7.033 7.033 145.20 137.69 55.90
Element x y z (fractional)
Ba 0.741 0.241 0.500
Ba 0.011 0.011 0.000
Rh 0.418 0.418 0.000
Tc 0.331 0.831 0.500

Properties
* V: 33.17 Å³/atom
* polymorph energy (0 for the lowest one): 0.71 eV/f.u.
* magnetization: 0.0 μB/f.u.
* energy of formation from the pure elements: 0.35 eV/atom
* DFT total energy: -5.0406 eV per atom


## Ba2TcRh (PBE)

Data for an optimized crystal structure of Ba2TcRh.

Lattice parameters (Å, degrees): 4.183 4.183 9.082 82.59 82.59 48.96
Element x y z (fractional)
Ba 0.003 0.003 0.978
Ba 0.497 0.497 0.522
Rh 0.750 0.750 0.750
Tc 0.250 0.250 0.250

Properties
* V: 29.67 Å³/atom
* polymorph energy (0 for the lowest one): 3.00 eV/f.u.
* magnetization: 2.9 μB/f.u.
* energy of formation from the pure elements: 0.92 eV/atom
* DFT total energy: -4.4684 eV per atom


## Ba2TcRh (PBE)

Data for an optimized crystal structure of Ba2TcRh.

Lattice parameters (Å, degrees): 3.670 3.605 9.311 67.10 90.00 90.00
Element x y z (fractional)
Tc 0.500 0.750 0.750
Ba 0.000 0.518 0.481
Ba 0.000 0.982 0.019
Rh 0.500 0.250 0.250

Properties
* V: 28.36 Å³/atom
* polymorph energy (0 for the lowest one): 2.45 eV/f.u.
* magnetization: 2.7 μB/f.u.
* energy of formation from the pure elements: 0.79 eV/atom
* DFT total energy: -4.6044 eV per atom


## Ba2TcRh (PBE)

Data for an optimized crystal structure of Ba2TcRh.

Lattice parameters (Å, degrees): 9.684 9.684 9.684 22.29 22.29 22.29
Element x y z (fractional)
Tc 0.750 0.750 0.750
Ba 0.505 0.505 0.505
Ba 0.995 0.995 0.995
Rh 0.250 0.250 0.250

Properties
* V: 28.64 Å³/atom
* polymorph energy (0 for the lowest one): 3.06 eV/f.u.
* magnetization: 2.2 μB/f.u.
* energy of formation from the pure elements: 0.94 eV/atom
* DFT total energy: -4.4542 eV per atom


## Ba2TcRh (PBE)

Data for an optimized crystal structure of Ba2TcRh.

Lattice parameters (Å, degrees): 4.337 5.064 6.356 66.53 90.00 90.00
Element x y z (fractional)
Ba 0.500 0.268 0.339
Ba 0.000 0.981 0.913
Rh 0.000 0.669 0.537
Tc 0.500 0.582 0.711

Properties
* V: 32.01 Å³/atom
* polymorph energy (0 for the lowest one): 0.42 eV/f.u.
* magnetization: 0.0 μB/f.u.
* energy of formation from the pure elements: 0.28 eV/atom
* DFT total energy: -5.1141 eV per atom


## Ba2TcRh (PBE)

Data for an optimized crystal structure of Ba2TcRh.

Lattice parameters (Å, degrees): 3.597 3.597 9.664 90.00 90.00 98.44
Element x y z (fractional)
Rh 0.000 0.000 0.583
Tc 0.500 0.500 0.663
Ba 0.500 0.500 0.342
Ba 0.000 0.000 0.912

Properties
* V: 30.93 Å³/atom
* polymorph energy (0 for the lowest one): 1.01 eV/f.u.
* magnetization: 0.0 μB/f.u.
* energy of formation from the pure elements: 0.43 eV/atom
* DFT total energy: -4.9643 eV per atom


## Ba2TcRh (PBE)

Data for an optimized crystal structure of Ba2TcRh.

Lattice parameters (Å, degrees): 5.345 5.345 5.345 60.00 60.00 60.00
Element x y z (fractional)
Ba 0.250 0.250 0.250
Ba 0.000 0.000 0.000
Tc 0.750 0.750 0.750
Rh 0.500 0.500 0.500

Properties
* V: 27.00 Å³/atom
* polymorph energy (0 for the lowest one): 2.72 eV/f.u.
* magnetization: 3.6 μB/f.u.
* energy of formation from the pure elements: 0.85 eV/atom
* DFT total energy: -4.5382 eV per atom


## Ba2TcRh (PBE)

Data for an optimized crystal structure of Ba2TcRh.

Lattice parameters (Å, degrees): 3.572 3.572 9.582 90.00 90.00 90.00
Element x y z (fractional)
Ba 0.000 0.000 0.915
Ba 0.500 0.500 0.342
Rh 0.000 0.000 0.585
Tc 0.500 0.500 0.658

Properties
* V: 30.56 Å³/atom
* polymorph energy (0 for the lowest one): 1.08 eV/f.u.
* magnetization: 0.4 μB/f.u.
* energy of formation from the pure elements: 0.44 eV/atom
* DFT total energy: -4.9471 eV per atom


## Ba2TcRh (PBE)

Data for an optimized crystal structure of Ba2TcRh.

Lattice parameters (Å, degrees): 5.445 5.445 5.445 60.00 60.00 60.00
Element x y z (fractional)
Tc 0.000 0.000 0.000
Ba 0.750 0.750 0.750
Ba 0.250 0.250 0.250
Rh 0.500 0.500 0.500

Properties
* V: 28.54 Å³/atom
* polymorph energy (0 for the lowest one): 2.70 eV/f.u.
* magnetization: 2.9 μB/f.u.
* energy of formation from the pure elements: 0.85 eV/atom
* DFT total energy: -4.5435 eV per atom


## BaTc4Rh (PBE)

Data for an optimized crystal structure of BaTc4Rh.

Lattice parameters (Å, degrees): 5.364 5.364 5.364 60.00 60.00 60.00
Element x y z (fractional)
Ba 0.750 0.750 0.750
Tc 0.373 0.373 0.373
Tc 0.881 0.373 0.373
Tc 0.373 0.373 0.881
Tc 0.373 0.881 0.373
Rh 0.000 0.000 0.000

Properties
* V: 18.19 Å³/atom
* magnetization: 0.0 μB/f.u.
* energy of formation from the pure elements: 0.84 eV/atom
* DFT total energy: -7.6204 eV per atom